Below is a relaxed structure of Y3Al3CuNiPd, with properties calculated at the PBE-GGA level.

Summary:
Energy in eV per atom: -5.67
Magnetic moment in μB/f.u.: 0.00

Cell and atoms, written as POSCAR:
```
Y3Al3CuNiPd
1.0
7.016 0.000 0.000
-3.508 6.076 0.000
0.000 0.000 4.037
Y Al Cu Ni Pd
3 3 1 1 1
Direct
0.076 0.742 0.000 Y
0.258 0.335 0.000 Y
0.665 0.924 0.000 Y
0.438 0.105 0.500 Al
0.667 0.562 0.500 Al
0.895 0.333 0.500 Al
0.333 0.667 0.500 Cu
0.667 0.333 0.000 Ni
0.000 0.000 0.500 Pd
```